# 1
A relaxed structure of LaZnCl2, computed with PBE.

Lattice parameters (Å, degrees): 5.3856 5.3856 5.3856 128.50 128.50 75.81
Fractional positions:
Zn 0.7500 0.2500 0.5000
Cl 0.0000 0.0000 0.0000
Cl 0.5000 0.5000 0.0000
La 0.2500 0.7500 0.5000

- magnetization (μB/cell) = 0.04
- energy relative to the lowest polymorph listed for this composition (meV per atom) = 116
- DFT total energy (eV per atom) = -3.687

# 2
A relaxed structure of LaZnCl2, computed with PBE.

Lattice parameters (Å, degrees): 5.1761 4.2878 5.4308 66.74 90.00 90.00
Fractional positions:
La 0.0000 0.3132 0.4987
Cl 0.0000 0.0278 0.0696
Zn 0.5000 0.7272 0.6706
Cl 0.5000 0.4318 0.2612

- magnetization (μB/cell) = 0.00
- energy relative to the lowest polymorph listed for this composition (meV per atom) = 69
- DFT total energy (eV per atom) = -3.734

# 3
A relaxed structure of LaZnCl2, computed with PBE.

Lattice parameters (Å, degrees): 4.2234 5.1023 4.3135 90.00 90.00 90.00
Fractional positions:
Cl 0.5000 0.5000 0.0000
Zn 0.0000 0.5000 0.5000
La 0.5000 0.0000 0.5000
Cl 0.0000 0.0000 0.0000

- magnetization (μB/cell) = 0.00
- energy relative to the lowest polymorph listed for this composition (meV per atom) = 134
- DFT total energy (eV per atom) = -3.670

# 4
A relaxed structure of LaZn2Cl, computed with PBE.

Lattice parameters (Å, degrees): 3.4857 3.4857 8.9185 90.00 90.00 114.20
Fractional positions:
Cl 0.5000 0.5000 0.2500
Zn 0.0000 0.0000 0.4665
La 0.5000 0.5000 0.7500
Zn 0.0000 0.0000 0.0335

- magnetization (μB/cell) = 0.00
- energy relative to the lowest polymorph listed for this composition (meV per atom) = 428
- DFT total energy (eV per atom) = -2.619

# 5
A relaxed structure of LaZnCl2, computed with PBE.

Lattice parameters (Å, degrees): 6.0591 6.0591 6.0591 139.33 139.33 58.88
Fractional positions:
Cl 0.0000 0.0000 0.0000
Cl 0.2500 0.7500 0.5000
La 0.5000 0.5000 0.0000
Zn 0.7500 0.2500 0.5000

- magnetization (μB/cell) = 0.00
- energy relative to the lowest polymorph listed for this composition (meV per atom) = 148
- DFT total energy (eV per atom) = -3.656

# 6
A relaxed structure of LaZnCl2, computed with PBE.

Lattice parameters (Å, degrees): 11.1613 11.1613 11.1613 20.41 20.41 20.41
Fractional positions:
Cl 0.5290 0.5290 0.5290
Zn 0.7500 0.7500 0.7500
La 0.2500 0.2500 0.2500
Cl 0.9710 0.9710 0.9710

- magnetization (μB/cell) = 0.22
- energy relative to the lowest polymorph listed for this composition (meV per atom) = 44
- DFT total energy (eV per atom) = -3.760

# 7
A relaxed structure of LaZnCl3, computed with PBE.

Lattice parameters (Å, degrees): 5.6088 5.6088 5.6088 90.00 90.00 90.00
Fractional positions:
La 0.0000 0.0000 0.0000
Cl 0.0000 0.5000 0.0000
Cl 0.5000 0.0000 0.0000
Zn 0.5000 0.5000 0.5000
Cl 0.0000 0.0000 0.5000

- magnetization (μB/cell) = 0.00
- energy relative to the lowest polymorph listed for this composition (meV per atom) = 0
- DFT total energy (eV per atom) = -3.989

# 8
A relaxed structure of LaZnCl2, computed with PBE.

Lattice parameters (Å, degrees): 4.8161 4.8161 10.0544 76.14 76.14 90.00
Fractional positions:
La 0.7500 0.2500 0.5000
Cl 0.3750 0.3524 0.7500
Cl 0.6476 0.1250 0.2500
Cl 0.8750 0.8976 0.7500
Zn 0.2500 0.7500 0.5000
La 0.0000 0.0000 0.0000
Cl 0.1024 0.6250 0.2500
Zn 0.5000 0.5000 0.0000

- magnetization (μB/cell) = 0.00
- energy relative to the lowest polymorph listed for this composition (meV per atom) = 193
- DFT total energy (eV per atom) = -3.610

# 9
A relaxed structure of LaZnCl6, computed with PBE.

Lattice parameters (Å, degrees): 6.4044 6.4514 7.2409 63.67 63.73 59.98
Fractional positions:
Zn 0.0000 0.0000 0.0000
Cl 0.3946 0.7724 0.7661
Cl 0.6054 0.2276 0.2339
Cl 0.9345 0.6059 0.2340
Cl 0.2287 0.9349 0.2322
Cl 0.7713 0.0651 0.7678
Cl 0.0655 0.3941 0.7660
La 0.5000 0.5000 0.5000

- magnetization (μB/cell) = 1.15
- DFT total energy (eV per atom) = -3.557

# 10
A relaxed structure of LaZnCl2, computed with PBE.

Lattice parameters (Å, degrees): 5.1625 5.1625 5.1625 60.00 60.00 60.00
Fractional positions:
Cl 0.2500 0.2500 0.2500
La 0.5000 0.5000 0.5000
Cl 0.0000 0.0000 0.0000
Zn 0.7500 0.7500 0.7500

- magnetization (μB/cell) = 0.28
- energy relative to the lowest polymorph listed for this composition (meV per atom) = 391
- DFT total energy (eV per atom) = -3.413

# 11
A relaxed structure of La6ZnCl8, computed with PBE.

Lattice parameters (Å, degrees): 7.1838 7.1838 11.2301 71.35 71.35 60.00
Fractional positions:
Cl 0.6666 0.6666 0.0001
La 0.9448 0.6112 0.1661
La 0.2779 0.9448 0.1661
Cl 0.1098 0.7829 0.6715
La 0.0552 0.3888 0.8339
Cl 0.8902 0.2171 0.3285
Cl 0.4358 0.1098 0.6715
La 0.6112 0.2779 0.1661
Cl 0.5642 0.8902 0.3285
La 0.3888 0.7221 0.8339
Cl 0.2171 0.5642 0.3285
Cl 0.3334 0.3334 0.9999
La 0.7221 0.0552 0.8339
Cl 0.7829 0.4358 0.6715
Zn 0.0000 0.0000 0.0000

- magnetization (μB/cell) = 0.00
- DFT total energy (eV per atom) = -4.771

# 12
A relaxed structure of LaZnCl2, computed with PBE.

Lattice parameters (Å, degrees): 3.9324 3.9226 6.1456 90.00 90.00 90.00
Fractional positions:
Cl 0.0000 0.0000 0.9513
Cl 0.5000 0.5000 0.2651
La 0.0000 0.0000 0.4900
Zn 0.5000 0.5000 0.7935

- magnetization (μB/cell) = 0.00
- energy relative to the lowest polymorph listed for this composition (meV per atom) = 109
- DFT total energy (eV per atom) = -3.695